# Al6Re7 | OQMD via LeMat-Bulk | GGA-PBE | relaxed
data_Al6Re7
_chemical_formula_sum 'Al18 Re21'
_symmetry_space_group_name_H-M 'R -3 m'
_symmetry_Int_Tables_number 166
_symmetry_space_group_name_Hall '-R 3 2"'
_cell_length_a 5.1881
_cell_length_b 5.1881
_cell_length_c 26.6372
_cell_angle_alpha 90.00
_cell_angle_beta 90.00
_cell_angle_gamma 120.00
loop_
_atom_site_label
_atom_site_fract_x
_atom_site_fract_y
_atom_site_fract_z
Al1 0.0000 0.0000 0.0477
Al2 0.0000 0.0000 0.1515
Al3 0.0000 0.0000 0.3345
Re1 0.0000 0.0000 0.5000
Re2 0.0070 0.5035 0.9132
# Size of the total moment ... 0.07 Bohr magnetons per cell
# Offset from the most stable computed form ... 45 kJ/mol of formula units